Entry 1:
Material: MnInAs2P
Method: DFT, PBE
State: optimized geometry

Cell: 5.1265 5.1265 4.9179 Å, 90.00 90.00 90.00°
Last column: nearest neighbours and their distance in Å.
Space group P4/mmm (No. 123)
Symmetry-distinct sites (fractional):
Mn: 0.0000 0.0000 0.0000 x1  2 In 2.46
In: 0.0000 0.0000 0.5000 x1  2 Mn 2.46, 4 As 2.56
As: 0.0000 0.5000 0.5000 x2  2 In 2.56
P: 0.5000 0.5000 0.0000 x1  8 As 3.55, 4 Mn 3.62

Properties
**Magnetization**: 0.49 μB per formula unit
**Calculated volume**: 25.85 Å³/atom
**Formation energy from the elements**: 1.799 eV/atom


Entry 2:
Material: MnInAs2Pb
Method: DFT, PBE
State: optimized geometry

Cell: 5.4666 5.4666 4.9938 Å, 90.00 90.00 90.00°
Last column: nearest neighbours and their distance in Å.
Space group P4/mmm (No. 123)
Symmetry-distinct sites (fractional):
Mn: 0.0000 0.0000 0.0000 x1  2 Pb 2.50
In: 0.5000 0.5000 0.0000 x1  8 As 3.70, 4 Mn 3.87
As: 0.0000 0.5000 0.5000 x2  2 Pb 2.73
Pb: 0.0000 0.0000 0.5000 x1  2 Mn 2.50, 4 As 2.73

Properties
**Magnetization**: 0.03 μB per formula unit
**Calculated volume**: 29.85 Å³/atom
**Formation energy from the elements**: 1.388 eV/atom


Entry 3:
Material: MnInAs2Rh
Method: DFT, PBE
State: optimized geometry

Cell: 4.4199 4.4199 5.0147 Å, 90.00 90.00 90.00°
Last column: nearest neighbours and their distance in Å.
Space group P4/mmm (No. 123)
Symmetry-distinct sites (fractional):
Mn: 0.0000 0.0000 0.0000 x1  4 As 2.21
In: 0.0000 0.0000 0.5000 x1  2 Mn 2.51
As: 0.0000 0.5000 0.0000 x2  2 Mn 2.21
Rh: 0.5000 0.5000 0.5000 x1  4 In 3.13, 8 As 3.34

Properties
**Magnetization**: 0.00 μB per formula unit
**Calculated volume**: 19.59 Å³/atom
**Formation energy from the elements**: 0.491 eV/atom


- calculated volume of number 3 (MnInAs2Rh)?
  19.59 Å³/atom


- calculated volume of number 3 (MnInAs2Rh)?
  19.59 Å³/atom